Entry 1:
Crystalline Tb4TmTe5 at its relaxed geometry. Source: the Alexandria database, functional PBE-GGA.

Unit cell a=6.1442 b=7.5566 c=7.5566 alpha=80.49 beta=66.01 gamma=66.01
Element x y z (fractional)
Tm (0.0002, 0.0000, 0.0000)
Tb (0.8175, 0.7755, 0.5921)
Te (0.2902, 0.8192, 0.6027)
Te (0.7122, 0.1808, 0.3973)
Tb (0.1850, 0.2245, 0.4079)
Tb (0.4095, 0.4079, 0.7755)
Te (0.1094, 0.6027, 0.1808)
Te (0.8930, 0.3973, 0.8192)
Tb (0.5930, 0.5921, 0.2245)
Te (0.5003, 0.0000, 0.0000)

Results
Energy relative to the lowest polymorph listed for this composition ... 0.0052 eV per atom
Formation energy (no corrections) ... -123.8 kJ per mole of atoms
Symmetry ... No. 79

***

Entry 2:
Crystalline TbTm2Te at its relaxed geometry. Source: the Alexandria database, functional PBE-GGA.

Unit cell a=3.8340 b=3.8340 c=9.9733 alpha=78.92 beta=78.92 gamma=60.00
Element x y z (fractional)
Tb (0.4998, 0.4998, 0.5006)
Te (0.6666, 0.6666, 0.0002)
Tm (0.2610, 0.2610, 0.2170)
Tm (0.0726, 0.0726, 0.7822)

Results
Energy relative to the lowest polymorph listed for this composition ... 0.1266 eV per atom
Formation energy (no corrections) ... -48.5 kJ per mole of atoms
Symmetry ... No. 160

***

Entry 3:
Crystalline Tb3TmTe4 at its relaxed geometry. Source: the Alexandria database, functional PBE-GGA.

Unit cell a=4.2926 b=7.5768 c=7.5768 alpha=108.74 beta=90.00 gamma=90.00
Element x y z (fractional)
Te (0.5000, 0.2477, 0.7523)
Tm (0.5000, 0.0000, 0.0000)
Te (0.5000, 0.7523, 0.2477)
Tb (0.0000, 0.0000, 0.5000)
Tb (0.0000, 0.5000, 0.0000)
Te (0.0000, 0.7544, 0.7544)
Te (0.0000, 0.2456, 0.2456)
Tb (0.5000, 0.5000, 0.5000)

Results
Formation energy (no corrections) ... -122.9 kJ per mole of atoms
Symmetry ... No. 65

***

Entry 4:
Crystalline TbTmTe at its relaxed geometry. Source: the Alexandria database, functional PBE-GGA.

Unit cell a=6.2801 b=6.3283 c=6.2801 alpha=64.93 beta=81.60 gamma=115.07
Element x y z (fractional)
Tm (0.7825, 0.0000, 0.7175)
Tb (0.2825, 0.5000, 0.7175)
Tm (0.2825, 0.0000, 0.2175)
Te (0.2826, 0.0000, 0.7174)
Tb (0.7825, 0.5000, 0.2175)
Te (0.7825, 0.0000, 0.2175)

Results
Energy relative to the lowest polymorph listed for this composition ... 0.3299 eV per atom
Formation energy (no corrections) ... -48.6 kJ per mole of atoms
Symmetry ... No. 47

***

Entry 5:
Crystalline Tb4Tm3Te8 at its relaxed geometry. Source: the Alexandria database, functional PBE-GGA.

Unit cell a=8.6392 b=8.6462 c=8.6462 alpha=89.98 beta=120.00 gamma=120.00
Element x y z (fractional)
Tm (0.5000, 0.5000, 0.0000)
Tm (0.5000, 0.5000, 0.5000)
Te (0.9960, 0.7410, 0.7410)
Tb (0.0000, 0.0000, 0.0000)
Te (0.0000, 0.7429, 0.2571)
Te (0.5000, 0.2520, 0.7480)
Te (0.0000, 0.2571, 0.7429)
Tb (0.5000, 0.0000, 0.0000)
Tb (0.0000, 0.0000, 0.5000)
Te (0.0040, 0.2590, 0.2590)
Tm (0.5000, 0.0000, 0.5000)
Te (0.4857, 0.7409, 0.7409)
Te (0.5000, 0.7480, 0.2520)
Tb (0.0000, 0.5000, 0.0000)
Te (0.5143, 0.2591, 0.2591)

Results
Formation energy (no corrections) ... -128.9 kJ per mole of atoms
Symmetry ... No. 12

***

Entry 6:
Crystalline Tb2YTmTe5 at its relaxed geometry. Source: the Alexandria database, functional PBE-GGA.

Unit cell a=5.4947 b=5.4947 c=11.4898 alpha=90.00 beta=90.00 gamma=90.00
Last column: magnetic moment on the atom in μB.
Element x y z (fractional)
Tb (0.5000, 0.5000, 0.6533)  0.17
Te (0.0000, 0.0000, 0.2470)  0.00
Tm (0.0000, 0.0000, 0.5000)  0.02
Te (0.0000, 0.5000, 0.5000)  0.00
Te (0.0000, 0.0000, 0.7530)  0.00
Y (0.0000, 0.0000, 0.0000)  0.01
Tb (0.5000, 0.5000, 0.3467)  0.17
Te (0.5000, 0.0000, 0.5000)  0.00
Te (0.5000, 0.5000, 0.0000)  0.01

Results
Formation energy (no corrections) ... -67.6 kJ per mole of atoms
Symmetry ... No. 123

***

Entry 7:
Crystalline Tb2YTmTe6 at its relaxed geometry. Source: the Alexandria database, functional PBE-GGA.

Unit cell a=7.6881 b=7.6884 c=8.3042 alpha=62.43 beta=62.44 gamma=60.01
Element x y z (fractional)
Te (0.7257, 0.1015, 0.7541)
Y (0.8237, 0.8237, 0.5290)
Te (0.1015, 0.4187, 0.7541)
Te (0.5976, 0.2285, 0.2515)
Te (0.2286, 0.9225, 0.2515)
Te (0.9224, 0.5976, 0.2514)
Tb (0.0094, 0.0094, 0.9718)
Tb (0.5098, 0.5098, 0.4705)
Te (0.4188, 0.7257, 0.7541)
Tm (0.3242, 0.3243, 0.0274)

Results
Formation energy (no corrections) ... -131.5 kJ per mole of atoms
Symmetry ... No. 146

***

Entry 8:
Crystalline Tb2Y3TmTe6 at its relaxed geometry. Source: the Alexandria database, functional PBE-GGA.

Unit cell a=4.3365 b=8.7585 c=9.7363 alpha=102.74 beta=102.87 gamma=90.00
Element x y z (fractional)
Y (0.8300, 0.1669, 0.6600)
Te (0.6636, 0.0812, 0.3273)
Te (0.6652, 0.5833, 0.3305)
Tb (0.8308, 0.6637, 0.6617)
Te (0.3348, 0.4167, 0.6695)
Y (0.5000, 0.5000, 0.0000)
Te (0.9994, 0.2454, 0.9989)
Tb (0.1692, 0.3363, 0.3383)
Tm (0.5000, 0.0000, 0.0000)
Y (0.1700, 0.8331, 0.3400)
Te (0.0006, 0.7546, 0.0011)
Te (0.3364, 0.9188, 0.6727)

Results
Formation energy (no corrections) ... -124.2 kJ per mole of atoms
Symmetry ... No. 12

***

Entry 9:
Crystalline Tb3Y2TmTe6 at its relaxed geometry. Source: the Alexandria database, functional PBE-GGA.

Unit cell a=4.3387 b=8.7587 c=9.7391 alpha=102.79 beta=102.87 gamma=90.00
Element x y z (fractional)
Te (0.6637, 0.0825, 0.3274)
Te (0.3363, 0.9175, 0.6726)
Te (0.9997, 0.2453, 0.9993)
Y (0.1686, 0.3358, 0.3373)
Te (0.3341, 0.4172, 0.6683)
Y (0.8314, 0.6642, 0.6627)
Tb (0.5000, 0.5000, 0.0000)
Tm (0.5000, 0.0000, 0.0000)
Tb (0.1696, 0.8338, 0.3391)
Tb (0.8304, 0.1662, 0.6609)
Te (0.0003, 0.7547, 0.0007)
Te (0.6659, 0.5828, 0.3317)

Results
Formation energy (no corrections) ... -124.2 kJ per mole of atoms
Symmetry ... No. 12

***

Entry 10:
Crystalline TbY2Tm3Te6 at its relaxed geometry. Source: the Alexandria database, functional PBE-GGA.

Unit cell a=4.3100 b=8.7255 c=9.7185 alpha=103.75 beta=102.81 gamma=90.00
Element x y z (fractional)
Te (0.6684, 0.0796, 0.3367)
Y (0.8340, 0.6683, 0.6679)
Y (0.1660, 0.3317, 0.3321)
Te (0.9985, 0.2538, 0.9971)
Te (0.0015, 0.7462, 0.0029)
Te (0.6656, 0.5860, 0.3313)
Tm (0.1663, 0.8330, 0.3327)
Tb (0.5000, 0.0000, 0.0000)
Te (0.3316, 0.9204, 0.6633)
Te (0.3344, 0.4140, 0.6687)
Tm (0.5000, 0.5000, 0.0000)
Tm (0.8337, 0.1670, 0.6673)

Results
Formation energy (no corrections) ... -119.7 kJ per mole of atoms
Symmetry ... No. 12

***

Entry 11:
Crystalline TbYTm2Te6 at its relaxed geometry. Source: the Alexandria database, functional PBE-GGA.

Unit cell a=7.6594 b=7.6594 c=8.2706 alpha=62.42 beta=62.42 gamma=60.00
Element x y z (fractional)
Te (0.1062, 0.4095, 0.7492)
Tb (0.3225, 0.3225, 0.0325)
Tm (0.5079, 0.5079, 0.4763)
Y (0.8226, 0.8226, 0.5323)
Te (0.9091, 0.6067, 0.2500)
Te (0.7351, 0.1061, 0.7492)
Te (0.4096, 0.7351, 0.7492)
Tm (0.0079, 0.0079, 0.9764)
Te (0.6066, 0.2342, 0.2500)
Te (0.2342, 0.9091, 0.2500)

Results
Formation energy (no corrections) ... -130.6 kJ per mole of atoms
Symmetry ... No. 146

***

Entry 12:
Crystalline TbUTe2 at its relaxed geometry. Source: the Alexandria database, functional PBE-GGA.

Unit cell a=4.0194 b=4.0194 c=10.3547 alpha=78.81 beta=78.81 gamma=60.00
Last column: magnetic moment on the atom in μB.
Element x y z (fractional)
U (0.5000, 0.5000, 0.5000)  2.63
Te (0.0999, 0.0999, 0.7004)  -0.07
Tb (0.0000, 0.0000, 0.0000)  0.04
Te (0.9001, 0.9001, 0.2996)  -0.07

Results
Energy relative to the lowest polymorph listed for this composition ... 0.3895 eV per atom
Formation energy (no corrections) ... -38.8 kJ per mole of atoms
Symmetry ... No. 166

***

| no. | electronic total energy (eV per atom) |
| --- | --- |
| 1 | -5.153 |
| 2 | -4.682 |
| 3 | -5.139 |
| 4 | -4.585 |
| 5 | -5.140 |
| 6 | -4.690 |
| 7 | -5.268 |
| 8 | -5.618 |
| 9 | -5.466 |
| 10 | -5.392 |
| 11 | -5.242 |
| 12 | -5.953 |